Below is a relaxed structure of KBeV, with properties calculated at the PBE level.

Properties
ΔH_f (0 K)	1408	meV per atom
distance to the lowest polymorph of the same formula	944	meV/atom
theoretical density	2.6	g/cm3
calculated volume	126.1	Å³/cell

a = 5.1471 Å, b = 5.1471 Å, c = 5.4975 Å
α = 90.00°, β = 90.00°, γ = 120.00°
Space group P6_3/mmc (No. 194)
Inequivalent atoms, fractional coordinates:
K1 0.0000 0.0000 0.0000
Be1 0.3333 0.6667 0.2500
V1 0.3333 0.6667 0.7500



Below is a relaxed structure of KBeV, with properties calculated at the PBE level.

Properties
ΔH_f (0 K)	578	meV per atom
distance to the lowest polymorph of the same formula	115	meV/atom
theoretical density	1.9	g/cm3
calculated volume	169.8	Å³/cell

a = 4.112 Å, b = 4.113 Å, c = 11.023 Å
α = 85.27°, β = 85.25°, γ = 66.24°
Space group P1 (No. 1)
Inequivalent atoms, fractional coordinates:
K1 0.000 0.000 0.000
K2 0.363 0.365 0.378
Be1 0.067 0.064 0.613
Be2 0.592 0.589 0.613
V1 0.099 0.524 0.718
V2 0.527 0.096 0.718



Below is a relaxed structure of KBe2V, with properties calculated at the PBE level.

Properties
ΔH_f (0 K)	1398	meV per atom
distance to the lowest polymorph of the same formula	0	meV/atom
theoretical density	2.5	g/cm3
calculated volume	291.2	Å³/cell

a = 6.628 Å, b = 6.628 Å, c = 6.628 Å
α = 90.00°, β = 90.00°, γ = 90.00°
Space group Fm-3m (No. 225)
Inequivalent atoms, fractional coordinates:
K1 0.000 0.000 0.000
Be1 0.250 0.250 0.250
V1 0.000 0.000 0.500



Below is a relaxed structure of KBeV3, with properties calculated at the PBE level.

Properties
ΔH_f (0 K)	1396	meV per atom
distance to the lowest polymorph of the same formula	0	meV/atom
theoretical density	3.3	g/cm3
calculated volume	102.5	Å³/cell

a = 4.680 Å, b = 4.680 Å, c = 4.680 Å
α = 90.00°, β = 90.00°, γ = 90.00°
Space group Pm-3m (No. 221)
Inequivalent atoms, fractional coordinates:
K1 0.000 0.000 0.000
Be1 0.500 0.500 0.500
V1 0.000 0.500 0.500